Record 1
Here is a relaxed structure of TmNpZn4 from the Alexandria database. Energies are from PBE. Values from VASP.

Values from the calculation:
DOS at the Fermi energy: 1.202 states/eV per atom
Formation enthalpy at 0 K: -8 kJ/mol of atoms
E_tot: -3.83 eV per atom

Structure (Quantum ESPRESSO input):
```
&SYSTEM
  ibrav = 0, nat = 6, ntyp = 3
/
ATOMIC_SPECIES
Tm 168.93 Tm.upf
Np 237.00 Np.upf
Zn 65.41 Zn.upf
CELL_PARAMETERS angstrom
0.000 3.837 3.837
3.837 0.000 3.837
3.837 3.837 0.000
ATOMIC_POSITIONS angstrom
Tm 0.000 0.000 0.000
Np 5.756 5.756 5.756
Zn 2.878 2.878 2.878
Zn 4.796 4.796 2.878
Zn 4.796 2.878 4.796
Zn 2.878 4.796 4.796
```



Record 2
Here is a relaxed structure of TmNpZn17 from the Alexandria database. Energies are from PBE. Values from VASP.

Values from the calculation:
DOS at the Fermi energy: 0.739 states/eV per atom
Formation enthalpy at 0 K: -13 kJ/mol of atoms
E_tot: -2.19 eV per atom

Structure (Quantum ESPRESSO input):
```
&SYSTEM
  ibrav = 0, nat = 19, ntyp = 3
/
ATOMIC_SPECIES
Tm 168.93 Tm.upf
Np 237.00 Np.upf
Zn 65.41 Zn.upf
CELL_PARAMETERS angstrom
4.479 2.586 4.390
-4.479 2.586 4.390
0.000 -5.172 4.390
ATOMIC_POSITIONS angstrom
Tm 0.000 0.000 0.000
Np 0.000 0.000 4.338
Zn 0.000 -2.505 2.376
Zn -2.170 1.253 2.376
Zn -2.226 -1.285 6.549
Zn 0.000 -2.664 6.361
Zn -2.307 1.332 6.361
Zn -1.339 -2.305 8.753
Zn -2.665 -0.007 8.753
Zn 2.170 1.253 2.376
Zn 0.000 0.000 7.438
Zn 2.226 -1.285 6.549
Zn 0.000 2.571 6.549
Zn 1.339 -2.305 8.753
Zn -1.327 2.312 8.753
Zn 0.000 0.000 10.080
Zn 2.307 1.332 6.361
Zn 2.665 -0.007 8.753
Zn 1.327 2.312 8.753
```



Record 3
Here is a relaxed structure of TmZr2Np from the Alexandria database. Energies are from PBE. Values from VASP.

Values from the calculation:
DOS at the Fermi energy: 2.279 states/eV per atom
Formation enthalpy at 0 K: 26 kJ/mol of atoms
E_tot: -8.36 eV per atom

Structure (Quantum ESPRESSO input):
```
&SYSTEM
  ibrav = 0, nat = 4, ntyp = 3
/
ATOMIC_SPECIES
Tm 168.93 Tm.upf
Zr 91.22 Zr.upf
Np 237.00 Np.upf
CELL_PARAMETERS angstrom
1.630 0.941 10.712
-1.630 0.941 10.712
0.000 -1.883 10.712
ATOMIC_POSITIONS angstrom
Tm 0.000 0.000 0.000
Zr 0.000 0.000 7.945
Zr 0.000 0.000 24.192
Np 0.000 0.000 16.068
```



Record 4
Here is a relaxed structure of TmZr2Np from the Alexandria database. Energies are from PBE. Values from VASP.

Values from the calculation:
DOS at the Fermi energy: 2.352 states/eV per atom
Formation enthalpy at 0 K: 29 kJ/mol of atoms
E_tot: -8.33 eV per atom

Structure (Quantum ESPRESSO input):
```
&SYSTEM
  ibrav = 0, nat = 4, ntyp = 3
/
ATOMIC_SPECIES
Tm 168.93 Tm.upf
Zr 91.22 Zr.upf
Np 237.00 Np.upf
CELL_PARAMETERS angstrom
3.752 0.000 0.000
0.000 3.752 0.000
0.000 0.000 7.053
ATOMIC_POSITIONS angstrom
Tm 0.000 0.000 0.000
Zr 1.876 1.876 2.029
Zr 1.876 1.876 5.024
Np 0.000 0.000 3.526
```



Record 5
Here is a relaxed structure of TmZrNp from the Alexandria database. Energies are from PBE. Values from VASP.

Values from the calculation:
DOS at the Fermi energy: 1.884 states/eV per atom
Formation enthalpy at 0 K: 20 kJ/mol of atoms
E_tot: -8.45 eV per atom

Structure (Quantum ESPRESSO input):
```
&SYSTEM
  ibrav = 0, nat = 6, ntyp = 3
/
ATOMIC_SPECIES
Tm 168.93 Tm.upf
Zr 91.22 Zr.upf
Np 237.00 Np.upf
CELL_PARAMETERS angstrom
7.750 -1.729 0.000
7.750 1.729 0.000
-0.550 0.000 5.558
ATOMIC_POSITIONS angstrom
Tm 1.366 0.000 1.903
Tm 13.585 0.000 3.655
Zr 6.492 0.000 0.910
Zr 8.459 0.000 4.648
Np 3.246 0.000 4.737
Np 11.704 0.000 0.821
```



Record 6
Here is a relaxed structure of Np2U from the Alexandria database. Energies are from PBE. Values from VASP.

Values from the calculation:
Formation enthalpy at 0 K: 32 kJ/mol of atoms
E_tot: -12.06 eV per atom

Structure (Quantum ESPRESSO input):
```
&SYSTEM
  ibrav = 0, nat = 3, ntyp = 2
/
ATOMIC_SPECIES
Np 237.00 Np.upf
U 238.03 U.upf
CELL_PARAMETERS angstrom
2.518 -2.522 0.000
2.518 2.522 0.000
-2.480 0.000 4.371
ATOMIC_POSITIONS angstrom
Np 0.001 0.000 1.479
Np 2.555 0.000 2.892
U 2.518 0.000 0.000
```



| no. | ρ (g/cm3) |
| --- | --- |
| 1 | 9.8 |
| 2 | 8.3 |
| 3 | 9.9 |
| 4 | 9.8 |
| 5 | 11.1 |
| 6 | 21.3 |